Entry 1:
# GGA-PBE Rb2BeGeBr6, optimized geometry
data_Rb2BeGeBr6
_symmetry_space_group_name_H-M 'P 1'
_symmetry_Int_Tables_number 1
_symmetry_space_group_name_Hall 'P 1'
_cell_length_a 7.657
_cell_length_b 7.659
_cell_length_c 9.112
_cell_angle_alpha 90.01
_cell_angle_beta 114.83
_cell_angle_gamma 119.97
loop_
_atom_site_label
_atom_site_type_symbol
_atom_site_fract_x
_atom_site_fract_y
_atom_site_fract_z
_atom_site_occupancy
Rb1 Rb 0.000 0.000 0.000 1
Rb2 Rb 0.007 0.504 0.511 1
Be1 Be 0.557 0.778 0.335 1
Ge1 Ge 0.458 0.230 0.685 1
Br1 Br 0.333 0.961 0.844 1
Br2 Br 0.343 0.868 0.344 1
Br3 Br 0.472 0.512 0.845 1
Br4 Br 0.475 0.475 0.344 1
Br5 Br 0.868 0.999 0.344 1
Br6 Br 0.884 0.373 0.845 1
# ΔE_f (raw)	-1183	meV/atom
# ΔE to the lowest computed polymorph	0	meV/atom
# total magnetization	0.000	μB per atom
# calculated density	3.003	Mg/m³

***

Entry 2:
# GGA-PBE RbBe2GeBr8, optimized geometry
data_RbBe2GeBr8
_symmetry_space_group_name_H-M 'R -3'
_symmetry_Int_Tables_number 148
_symmetry_space_group_name_Hall '-R 3'
_cell_length_a 6.4927
_cell_length_b 6.4927
_cell_length_c 30.9798
_cell_angle_alpha 90.00
_cell_angle_beta 90.00
_cell_angle_gamma 120.00
loop_
_atom_site_label
_atom_site_type_symbol
_atom_site_fract_x
_atom_site_fract_y
_atom_site_fract_z
_atom_site_occupancy
Rb1 Rb 0.0000 0.0000 0.0000 1
Be1 Be 0.0000 0.0000 0.2407 1
Ge1 Ge 0.0000 0.0000 0.5000 1
Br1 Br 0.0000 0.0000 0.3097 1
Br2 Br 0.0040 0.6764 0.2191 1
# ΔE_f (raw)	-896	meV/atom
# total magnetization	0.000	μB per atom
# calculated density	3.591	Mg/m³

***

Entry 3:
# GGA-PBE Rb2BeGeBr6, optimized geometry
data_Rb2BeGeBr6
_symmetry_space_group_name_H-M 'I 4/m m m'
_symmetry_Int_Tables_number 139
_symmetry_space_group_name_Hall '-I 4 2'
_cell_length_a 7.485
_cell_length_b 7.485
_cell_length_c 10.674
_cell_angle_alpha 90.00
_cell_angle_beta 90.00
_cell_angle_gamma 90.00
loop_
_atom_site_label
_atom_site_type_symbol
_atom_site_fract_x
_atom_site_fract_y
_atom_site_fract_z
_atom_site_occupancy
Rb1 Rb 0.000 0.500 0.250 1
Be1 Be 0.000 0.000 0.000 1
Ge1 Ge 0.000 0.000 0.500 1
Br1 Br 0.000 0.000 0.238 1
Br2 Br 0.235 0.235 0.000 1
# ΔE_f (raw)	-1043	meV/atom
# ΔE to the lowest computed polymorph	140	meV/atom
# total magnetization	0.000	μB per atom
# calculated density	4.066	Mg/m³

***

Entry 4:
# GGA-PBE TiBe2GeBr, optimized geometry
data_TiBe2GeBr
_symmetry_space_group_name_H-M 'P 4/m m m'
_symmetry_Int_Tables_number 123
_symmetry_space_group_name_Hall '-P 4 2'
_cell_length_a 4.012
_cell_length_b 4.012
_cell_length_c 6.662
_cell_angle_alpha 90.00
_cell_angle_beta 90.00
_cell_angle_gamma 90.00
loop_
_atom_site_label
_atom_site_type_symbol
_atom_site_fract_x
_atom_site_fract_y
_atom_site_fract_z
_atom_site_occupancy
Ti1 Ti 0.000 0.000 0.000 1
Be1 Be 0.000 0.500 0.500 1
Ge1 Ge 0.500 0.500 0.500 1
Br1 Br 0.500 0.500 0.000 1
# ΔE_f (raw)	871	meV/atom
# total magnetization	0.000	μB per atom
# calculated density	3.382	Mg/m³